CsTl5I6, relaxed, DFT PBE-GGA; V = 564.8 Å³/f.u.; uncorrected formation energy = -0.806 eV/atom
1.0
8.835 0.248 0.000
2.725 8.435 0.000
1.362 4.218 7.649
Cs Tl I
1 5 6
Cartesian
0.000 0.000 0.000
5.780 4.341 5.160
1.362 4.218 2.568
5.780 4.341 0.000
2.725 8.435 5.081
7.142 8.559 2.489
7.247 2.397 2.679
4.312 6.286 2.679
2.951 2.323 0.000
8.608 6.360 0.000
8.609 6.615 4.970
5.675 10.503 4.970